1.
# PBE La2PaPb, optimized geometry
# Final energy   -5.832 eV per atom
# Formation energy   -0.067 eV per atom
# Energy relative to the lowest polymorph listed for this composition   20.4 meV/atom
data_La2PaPb
_symmetry_space_group_name_H-M 'P 4/m m m'
_symmetry_Int_Tables_number 123
_symmetry_space_group_name_Hall '-P 4 2'
_cell_length_a 5.0017
_cell_length_b 5.0017
_cell_length_c 4.7955
_cell_angle_alpha 90.00
_cell_angle_beta 90.00
_cell_angle_gamma 90.00
loop_
_atom_site_label
_atom_site_type_symbol
_atom_site_fract_x
_atom_site_fract_y
_atom_site_fract_z
La1 La 0.0000 0.5000 0.0000
Pa1 Pa 0.0000 0.0000 0.5000
Pb1 Pb 0.5000 0.5000 0.5000

=====

2.
# PBE LaPaPb2, optimized geometry
# Final energy   -5.550 eV per atom
# Formation energy   -0.090 eV per atom
# Energy relative to the lowest polymorph listed for this composition   117.4 meV/atom
data_LaPaPb2
_symmetry_space_group_name_H-M 'R -3 m'
_symmetry_Int_Tables_number 166
_symmetry_space_group_name_Hall '-R 3 2"'
_cell_length_a 5.2023
_cell_length_b 5.2023
_cell_length_c 16.0595
_cell_angle_alpha 90.00
_cell_angle_beta 90.00
_cell_angle_gamma 120.00
loop_
_atom_site_label
_atom_site_type_symbol
_atom_site_fract_x
_atom_site_fract_y
_atom_site_fract_z
La1 La 0.0000 0.0000 0.0000
Pa1 Pa 0.0000 0.0000 0.5000
Pb1 Pb 0.0000 0.0000 0.2435

=====

3.
# PBE LaPuPaPb, optimized geometry
# Final energy   -7.980 eV per atom
# Formation energy   0.136 eV per atom
data_LaPuPaPb
_symmetry_space_group_name_H-M 'F -4 3 m'
_symmetry_Int_Tables_number 216
_symmetry_space_group_name_Hall 'F -4 2 3'
_cell_length_a 7.6580
_cell_length_b 7.6580
_cell_length_c 7.6580
_cell_angle_alpha 90.00
_cell_angle_beta 90.00
_cell_angle_gamma 90.00
loop_
_atom_site_label
_atom_site_type_symbol
_atom_site_fract_x
_atom_site_fract_y
_atom_site_fract_z
La1 La 0.0000 0.0000 0.0000
Pu1 Pu 0.0000 0.0000 0.5000
Pa1 Pa 0.2500 0.2500 0.2500
Pb1 Pb 0.2500 0.2500 0.7500

=====

4.
# PBE LaPaPb2S6, optimized geometry
# Final energy   -5.951 eV per atom
# ΔE_f (raw)   -124.6 kJ/mol of atoms
data_LaPaPb2S6
_symmetry_space_group_name_H-M 'R 3'
_symmetry_Int_Tables_number 146
_symmetry_space_group_name_Hall 'R 3'
_cell_length_a 7.3056
_cell_length_b 7.3056
_cell_length_c 18.7761
_cell_angle_alpha 90.00
_cell_angle_beta 90.00
_cell_angle_gamma 120.00
loop_
_atom_site_label
_atom_site_type_symbol
_atom_site_fract_x
_atom_site_fract_y
_atom_site_fract_z
La1 La 0.0000 0.0000 0.0000
Pa1 Pa 0.0000 0.0000 0.4950
Pb1 Pb 0.0000 0.0000 0.2912
Pb2 Pb 0.0000 0.0000 0.7952
S1 S 0.0567 0.3354 0.5676
S2 S 0.0639 0.6924 0.0718

=====

5.
# PBE La3PaPd12, optimized geometry
# Final energy   -6.234 eV per atom
# Formation energy   -0.822 eV per atom
data_La3PaPd12
_symmetry_space_group_name_H-M 'P 4/m m m'
_symmetry_Int_Tables_number 123
_symmetry_space_group_name_Hall '-P 4 2'
_cell_length_a 4.2067
_cell_length_b 4.2067
_cell_length_c 16.8534
_cell_angle_alpha 90.00
_cell_angle_beta 90.00
_cell_angle_gamma 90.00
loop_
_atom_site_label
_atom_site_type_symbol
_atom_site_fract_x
_atom_site_fract_y
_atom_site_fract_z
La1 La 0.0000 0.0000 0.0000
La2 La 0.0000 0.0000 0.2480
Pa1 Pa 0.0000 0.0000 0.5000
Pd1 Pd 0.0000 0.5000 0.1269
Pd2 Pd 0.0000 0.5000 0.3838
Pd3 Pd 0.5000 0.5000 0.0000
Pd4 Pd 0.5000 0.5000 0.2557
Pd5 Pd 0.5000 0.5000 0.5000

=====

6.
# PBE LaPaPd6, optimized geometry
# Final energy   -6.502 eV per atom
# Formation energy   -0.805 eV per atom
data_LaPaPd6
_symmetry_space_group_name_H-M 'P 4/m m m'
_symmetry_Int_Tables_number 123
_symmetry_space_group_name_Hall '-P 4 2'
_cell_length_a 4.1883
_cell_length_b 4.1883
_cell_length_c 8.4013
_cell_angle_alpha 90.00
_cell_angle_beta 90.00
_cell_angle_gamma 90.00
loop_
_atom_site_label
_atom_site_type_symbol
_atom_site_fract_x
_atom_site_fract_y
_atom_site_fract_z
La1 La 0.0000 0.0000 0.0000
Pa1 Pa 0.0000 0.0000 0.5000
Pd1 Pd 0.0000 0.5000 0.2617
Pd2 Pd 0.5000 0.5000 0.0000
Pd3 Pd 0.5000 0.5000 0.5000

=====

7.
# PBE LaPaPd4, optimized geometry
# Final energy   -6.441 eV per atom
# Formation energy   -0.575 eV per atom
data_LaPaPd4
_symmetry_space_group_name_H-M 'F -4 3 m'
_symmetry_Int_Tables_number 216
_symmetry_space_group_name_Hall 'F -4 2 3'
_cell_length_a 7.7758
_cell_length_b 7.7758
_cell_length_c 7.7758
_cell_angle_alpha 90.00
_cell_angle_beta 90.00
_cell_angle_gamma 90.00
loop_
_atom_site_label
_atom_site_type_symbol
_atom_site_fract_x
_atom_site_fract_y
_atom_site_fract_z
La1 La 0.0000 0.0000 0.0000
Pa1 Pa 0.2500 0.2500 0.2500
Pd1 Pd 0.1244 0.1244 0.6244

=====

8.
# PBE La2PaPd, optimized geometry
# Final energy   -6.057 eV per atom
# Formation energy   0.078 eV per atom
data_La2PaPd
_symmetry_space_group_name_H-M 'R -3 m'
_symmetry_Int_Tables_number 166
_symmetry_space_group_name_Hall '-R 3 2"'
_cell_length_a 3.2895
_cell_length_b 3.2895
_cell_length_c 33.3618
_cell_angle_alpha 90.00
_cell_angle_beta 90.00
_cell_angle_gamma 120.00
loop_
_atom_site_label
_atom_site_type_symbol
_atom_site_fract_x
_atom_site_fract_y
_atom_site_fract_z
La1 La 0.0000 0.0000 0.0946
Pa1 Pa 0.0000 0.0000 0.0000
Pd1 Pd 0.0000 0.0000 0.5000

=====

9.
# PBE LaPaPd2Pt2, optimized geometry
# Final energy   -6.960 eV per atom
# Formation energy   -0.812 eV per atom
data_LaPaPd2Pt2
_symmetry_space_group_name_H-M 'P -3 m 1'
_symmetry_Int_Tables_number 164
_symmetry_space_group_name_Hall '-P 3 2"'
_cell_length_a 4.5571
_cell_length_b 4.5571
_cell_length_c 7.2450
_cell_angle_alpha 90.00
_cell_angle_beta 90.00
_cell_angle_gamma 120.00
loop_
_atom_site_label
_atom_site_type_symbol
_atom_site_fract_x
_atom_site_fract_y
_atom_site_fract_z
La1 La 0.0000 0.0000 0.0000
Pa1 Pa 0.0000 0.0000 0.5000
Pd1 Pd 0.3333 0.6667 0.7093
Pt1 Pt 0.3333 0.6667 0.2851

=====

10.
# PBE LaPaPdS4, optimized geometry
# Final energy   -6.641 eV per atom
# ΔE_f (raw)   -142.8 kJ/mol of atoms
data_LaPaPdS4
_symmetry_space_group_name_H-M 'P 1 21/m 1'
_symmetry_Int_Tables_number 11
_symmetry_space_group_name_Hall '-P 2yb'
_cell_length_a 6.4731
_cell_length_b 6.2060
_cell_length_c 7.9021
_cell_angle_alpha 90.00
_cell_angle_beta 107.35
_cell_angle_gamma 90.00
loop_
_atom_site_label
_atom_site_type_symbol
_atom_site_fract_x
_atom_site_fract_y
_atom_site_fract_z
La1 La 0.2356 0.2500 0.0533
Pa1 Pa 0.2383 0.2500 0.5578
Pd1 Pd 0.2342 0.7500 0.3219
S1 S 0.0372 0.5206 0.7355
S2 S 0.4522 0.7500 0.1244
S3 S 0.4637 0.7500 0.6152

=====

11.
# PBE La2PaPdS5, optimized geometry
# Final energy   -6.759 eV per atom
# ΔE_f (raw)   -167.8 kJ/mol of atoms
data_La2PaPdS5
_symmetry_space_group_name_H-M 'C m c 21'
_symmetry_Int_Tables_number 36
_symmetry_space_group_name_Hall 'C 2c -2'
_cell_length_a 3.9640
_cell_length_b 16.4958
_cell_length_c 12.3510
_cell_angle_alpha 90.00
_cell_angle_beta 90.00
_cell_angle_gamma 90.00
loop_
_atom_site_label
_atom_site_type_symbol
_atom_site_fract_x
_atom_site_fract_y
_atom_site_fract_z
La1 La 0.0000 0.1092 0.0000
La2 La 0.0000 0.1173 0.3475
Pa1 Pa 0.0000 0.1814 0.6725
Pd1 Pd 0.0000 0.4405 0.0682
S1 S 0.0000 0.0201 0.6730
S2 S 0.0000 0.2993 0.0167
S3 S 0.0000 0.3037 0.3274
S4 S 0.0000 0.3453 0.6727
S5 S 0.0000 0.4941 0.3950

=====

12.
# PBE La2PaPd2S6, optimized geometry
# Final energy   -6.261 eV per atom
# ΔE_f (raw)   -126.1 kJ/mol of atoms
data_La2PaPd2S6
_symmetry_space_group_name_H-M 'P -3'
_symmetry_Int_Tables_number 147
_symmetry_space_group_name_Hall '-P 3'
_cell_length_a 7.0488
_cell_length_b 7.0488
_cell_length_c 6.0452
_cell_angle_alpha 90.00
_cell_angle_beta 90.00
_cell_angle_gamma 120.00
loop_
_atom_site_label
_atom_site_type_symbol
_atom_site_fract_x
_atom_site_fract_y
_atom_site_fract_z
La1 La 0.3333 0.6667 0.3593
Pa1 Pa 0.0000 0.0000 0.0000
Pd1 Pd 0.3333 0.6667 0.8893
S1 S 0.0615 0.7361 0.7289

=====

13.
# PBE La2PaPdSe5, optimized geometry
# Final energy   -6.244 eV per atom
# ΔE_f (raw)   -152.6 kJ/mol of atoms
data_La2PaPdSe5
_symmetry_space_group_name_H-M 'C m c 21'
_symmetry_Int_Tables_number 36
_symmetry_space_group_name_Hall 'C 2c -2'
_cell_length_a 4.0936
_cell_length_b 17.3682
_cell_length_c 12.7895
_cell_angle_alpha 90.00
_cell_angle_beta 90.00
_cell_angle_gamma 90.00
loop_
_atom_site_label
_atom_site_type_symbol
_atom_site_fract_x
_atom_site_fract_y
_atom_site_fract_z
La1 La 0.0000 0.1037 0.0000
La2 La 0.0000 0.1217 0.3494
Pa1 Pa 0.0000 0.1795 0.6686
Pd1 Pd 0.0000 0.4357 0.0697
Se1 Se 0.0000 0.0191 0.6758
Se2 Se 0.0000 0.2970 0.0090
Se3 Se 0.0000 0.3074 0.3282
Se4 Se 0.0000 0.3447 0.6707
Se5 Se 0.0000 0.4977 0.3939

=====

14.
# PBE LaPaPdSe4, optimized geometry
# Final energy   -6.095 eV per atom
# ΔE_f (raw)   -125.6 kJ/mol of atoms
data_LaPaPdSe4
_symmetry_space_group_name_H-M 'P 1 21/m 1'
_symmetry_Int_Tables_number 11
_symmetry_space_group_name_Hall '-P 2yb'
_cell_length_a 6.7957
_cell_length_b 6.3570
_cell_length_c 8.2475
_cell_angle_alpha 90.00
_cell_angle_beta 107.42
_cell_angle_gamma 90.00
loop_
_atom_site_label
_atom_site_type_symbol
_atom_site_fract_x
_atom_site_fract_y
_atom_site_fract_z
La1 La 0.2287 0.2500 0.0535
Pa1 Pa 0.2506 0.2500 0.5611
Pd1 Pd 0.2419 0.7500 0.3198
Se1 Se 0.0363 0.5199 0.7360
Se2 Se 0.4453 0.7500 0.1129
Se3 Se 0.4532 0.7500 0.6201

=====

15.
# PBE La2PmPa, optimized geometry
# Final energy   -5.715 eV per atom
# Formation energy   0.311 eV per atom
# Energy relative to the lowest polymorph listed for this composition   176.0 meV/atom
data_La2PmPa
_symmetry_space_group_name_H-M 'R -3 m'
_symmetry_Int_Tables_number 166
_symmetry_space_group_name_Hall '-R 3 2"'
_cell_length_a 3.3912
_cell_length_b 3.3912
_cell_length_c 38.0355
_cell_angle_alpha 90.00
_cell_angle_beta 90.00
_cell_angle_gamma 120.00
loop_
_atom_site_label
_atom_site_type_symbol
_atom_site_fract_x
_atom_site_fract_y
_atom_site_fract_z
La1 La 0.0000 0.0000 0.0830
Pm1 Pm 0.0000 0.0000 0.5000
Pa1 Pa 0.0000 0.0000 0.0000

=====

16.
# PBE LaPm2Pa, optimized geometry
# Final energy   -5.644 eV per atom
# Formation energy   0.337 eV per atom
# Energy relative to the lowest polymorph listed for this composition   190.4 meV/atom
data_LaPm2Pa
_symmetry_space_group_name_H-M 'R -3 m'
_symmetry_Int_Tables_number 166
_symmetry_space_group_name_Hall '-R 3 2"'
_cell_length_a 3.4007
_cell_length_b 3.4007
_cell_length_c 37.7724
_cell_angle_alpha 90.00
_cell_angle_beta 90.00
_cell_angle_gamma 120.00
loop_
_atom_site_label
_atom_site_type_symbol
_atom_site_fract_x
_atom_site_fract_y
_atom_site_fract_z
La1 La 0.0000 0.0000 0.0000
Pm1 Pm 0.0000 0.0000 0.4144
Pa1 Pa 0.0000 0.0000 0.5000

=====

17.
# PBE La2PmPa, optimized geometry
# Final energy   -5.891 eV per atom
# Formation energy   0.134 eV per atom
# Energy relative to the lowest polymorph listed for this composition   0.0 meV/atom
data_La2PmPa
_symmetry_space_group_name_H-M 'P 4/m m m'
_symmetry_Int_Tables_number 123
_symmetry_space_group_name_Hall '-P 4 2'
_cell_length_a 3.4845
_cell_length_b 3.4845
_cell_length_c 10.5606
_cell_angle_alpha 90.00
_cell_angle_beta 90.00
_cell_angle_gamma 90.00
loop_
_atom_site_label
_atom_site_type_symbol
_atom_site_fract_x
_atom_site_fract_y
_atom_site_fract_z
La1 La 0.0000 0.0000 0.2239
Pm1 Pm 0.5000 0.5000 0.5000
Pa1 Pa 0.5000 0.5000 0.0000

=====

18.
# PBE LaPm2Pa, optimized geometry
# Final energy   -5.834 eV per atom
# Formation energy   0.147 eV per atom
# Energy relative to the lowest polymorph listed for this composition   0.0 meV/atom
data_LaPm2Pa
_symmetry_space_group_name_H-M 'P 4/m m m'
_symmetry_Int_Tables_number 123
_symmetry_space_group_name_Hall '-P 4 2'
_cell_length_a 3.4545
_cell_length_b 3.4545
_cell_length_c 10.7299
_cell_angle_alpha 90.00
_cell_angle_beta 90.00
_cell_angle_gamma 90.00
loop_
_atom_site_label
_atom_site_type_symbol
_atom_site_fract_x
_atom_site_fract_y
_atom_site_fract_z
La1 La 0.0000 0.0000 0.0000
Pm1 Pm 0.5000 0.5000 0.2768
Pa1 Pa 0.0000 0.0000 0.5000

=====

19.
# PBE LaPmPa, optimized geometry
# Final energy   -6.225 eV per atom
# Formation energy   0.166 eV per atom
# Energy relative to the lowest polymorph listed for this composition   5.0 meV/atom
data_LaPmPa
_symmetry_space_group_name_H-M 'P 3 m 1'
_symmetry_Int_Tables_number 156
_symmetry_space_group_name_Hall 'P 3 -2"'
_cell_length_a 3.4809
_cell_length_b 3.4809
_cell_length_c 8.8325
_cell_angle_alpha 90.00
_cell_angle_beta 90.00
_cell_angle_gamma 120.00
loop_
_atom_site_label
_atom_site_type_symbol
_atom_site_fract_x
_atom_site_fract_y
_atom_site_fract_z
La1 La 0.0000 0.0000 0.0000
Pm1 Pm 0.3333 0.6667 0.6247
Pa1 Pa 0.6667 0.3333 0.3125

=====

20.
# PBE LaPmPa, optimized geometry
# Final energy   -6.230 eV per atom
# Formation energy   0.161 eV per atom
# Energy relative to the lowest polymorph listed for this composition   0.0 meV/atom
data_LaPmPa
_symmetry_space_group_name_H-M 'I 4 m m'
_symmetry_Int_Tables_number 107
_symmetry_space_group_name_Hall 'I 4 -2'
_cell_length_a 3.4066
_cell_length_b 3.4066
_cell_length_c 16.0767
_cell_angle_alpha 90.00
_cell_angle_beta 90.00
_cell_angle_gamma 90.00
loop_
_atom_site_label
_atom_site_type_symbol
_atom_site_fract_x
_atom_site_fract_y
_atom_site_fract_z
La1 La 0.0000 0.0000 0.0000
Pm1 Pm 0.0000 0.0000 0.6989
Pa1 Pa 0.0000 0.0000 0.3496